*P*
Density functional theory data (PBE) for a relaxed In7Hg3Pb crystal.

- magnetization (μB/atom) = 0.0000

Unit cell a=4.711 b=8.616 c=9.217 alpha=122.34 beta=90.00 gamma=82.25
Fractional coordinates of all 11 atoms:
In  0.441  0.173  0.841
In  0.111  0.835  0.153
In  0.614  0.825  0.912
Hg  0.760  0.972  0.486
Hg  0.801  0.492  0.981
Hg  0.801  0.492  0.511
In  0.441  0.173  0.332
In  0.111  0.835  0.683
In  0.935  0.197  0.099
Pb  0.324  0.545  0.272
In  0.276  0.463  0.731

=====

*Q*
Density functional theory data (PBE) for a relaxed In7Hg3Pb crystal.

- magnetization (μB/atom) = 0.0000

Unit cell a=6.391 b=8.451 c=8.451 alpha=82.73 beta=122.42 gamma=122.42
Fractional coordinates of all 11 atoms:
Pb  0.500  0.500  0.500
In  0.676  0.938  0.412
In  0.000  0.500  0.500
In  0.324  0.588  0.062
Hg  0.000  0.234  0.766
In  0.670  0.820  0.820
In  0.676  0.412  0.938
Hg  0.500  0.000  0.000
In  0.330  0.180  0.180
Hg  0.000  0.766  0.234
In  0.324  0.062  0.588

=====

Relative to the most stable structure, the computed energies are *P* 0.000; *Q* 0.026, all in eV/atom.

=====

*P*
Density functional theory data (PBE) for a relaxed In3Hg2Pb8 crystal.

- magnetization (μB/atom) = 0.0000

Unit cell a=5.680 b=9.109 c=9.147 alpha=119.86 beta=87.73 gamma=90.00
Fractional coordinates of all 13 atoms:
Pb  0.491  0.804  0.224
In  0.000  0.303  0.000
Pb  0.992  0.669  0.339
Pb  0.509  0.196  0.776
Hg  0.502  0.213  0.426
Pb  0.509  0.580  0.776
Pb  0.008  0.331  0.661
Pb  0.491  0.420  0.224
Pb  0.997  0.887  0.774
Hg  0.498  0.787  0.574
In  0.000  0.697  0.000
Pb  0.003  0.113  0.226
In  0.500  0.000  0.000

=====

*Q*
Density functional theory data (PBE) for a relaxed In3Hg2Pb8 crystal.

- magnetization (μB/atom) = 0.0000

Unit cell a=6.249 b=9.019 c=9.019 alpha=59.36 beta=71.67 gamma=71.67
Fractional coordinates of all 13 atoms:
Pb  0.629  0.193  0.574
Hg  0.443  0.804  0.804
Pb  0.958  0.807  0.807
Pb  0.371  0.807  0.426
In  0.000  0.184  0.816
Pb  0.371  0.426  0.807
In  0.000  0.816  0.184
In  0.500  0.000  0.000
Pb  0.131  0.387  0.387
Pb  0.869  0.613  0.613
Pb  0.629  0.574  0.193
Pb  0.042  0.193  0.193
Hg  0.557  0.196  0.196

=====

Relative to the most stable structure, the computed energies are *P* 0.000; *Q* 0.005, all in eV/atom.

=====

*P*
Density functional theory data (PBE) for a relaxed In8Hg2Pb crystal.

- magnetization (μB/atom) = 0.0000

Unit cell a=5.498 b=8.562 c=8.446 alpha=59.55 beta=78.11 gamma=66.02
Fractional coordinates of all 11 atoms:
In  0.317  0.402  0.000
In  0.874  0.087  0.231
In  0.500  0.774  0.453
In  0.683  0.598  0.000
Hg  0.000  0.314  0.372
Hg  0.000  0.686  0.628
Pb  0.500  0.000  0.000
In  0.874  0.318  0.769
In  0.126  0.913  0.769
In  0.126  0.682  0.231
In  0.500  0.226  0.547

=====

*Q*
Density functional theory data (PBE) for a relaxed In8Hg2Pb crystal.

- magnetization (μB/atom) = 0.0000

Unit cell a=3.783 b=9.569 c=9.569 alpha=116.14 beta=90.02 gamma=90.02
Fractional coordinates of all 11 atoms:
In  0.999  0.945  0.655
In  0.001  0.345  0.055
In  0.001  0.055  0.345
In  0.500  0.763  0.237
Pb  0.500  0.000  0.000
In  0.499  0.671  0.671
In  0.999  0.655  0.945
Hg  0.000  0.382  0.618
Hg  0.000  0.618  0.382
In  0.501  0.329  0.329
In  0.500  0.237  0.763

=====

Relative to the most stable structure, the computed energies are *P* 0.009; *Q* 0.000, all in eV/atom.

=====

*P*
Density functional theory data (PBE) for a relaxed In4Hg5Pb crystal.

- magnetization (μB/atom) = 0.0000

Unit cell a=3.334 b=3.336 c=23.942 alpha=90.00 beta=90.11 gamma=90.00
Fractional coordinates of all 10 atoms:
Hg  0.501  0.500  0.698
Hg  0.500  0.500  0.106
In  0.001  0.000  0.400
Hg  0.500  0.500  0.894
Pb  0.000  0.000  0.000
In  0.001  0.000  0.797
Hg  0.499  0.500  0.302
In  0.999  0.000  0.203
Hg  0.500  0.500  0.500
In  0.999  0.000  0.600

=====

*Q*
Density functional theory data (PBE) for a relaxed In4Hg5Pb crystal.

- magnetization (μB/atom) = 0.0000

Unit cell a=7.392 b=6.450 c=12.205 alpha=90.00 beta=90.00 gamma=90.00
Fractional coordinates of all 20 atoms:
Pb  0.992  0.500  0.500
Hg  0.021  0.000  0.500
In  0.619  0.750  0.000
In  0.001  0.500  0.760
In  0.999  0.000  0.260
Hg  0.662  0.749  0.329
Hg  0.338  0.249  0.829
Hg  0.338  0.751  0.171
Hg  0.338  0.249  0.171
In  0.619  0.250  0.000
In  0.381  0.250  0.500
Hg  0.662  0.749  0.671
Hg  0.338  0.751  0.829
In  0.381  0.750  0.500
In  0.999  0.000  0.740
Hg  0.662  0.251  0.329
Pb  0.008  0.000  0.000
In  0.001  0.500  0.240
Hg  0.979  0.500  0.000
Hg  0.662  0.251  0.671

=====

Relative to the most stable structure, the computed energies are *P* 0.000; *Q* 0.062, all in eV/atom.

=====

*P*
Density functional theory data (PBE) for a relaxed In5Hg3Pb crystal.

- magnetization (μB/atom) = 0.0000

Unit cell a=6.448 b=9.368 c=9.365 alpha=120.01 beta=90.00 gamma=90.00
Fractional coordinates of all 18 atoms:
Hg  0.750  0.670  0.000
Hg  0.250  0.000  0.330
In  0.000  0.666  0.333
Hg  0.250  0.330  0.000
In  0.750  0.000  0.342
In  0.500  0.334  0.667
In  0.750  0.658  0.658
Hg  0.750  0.000  0.670
In  0.250  0.342  0.342
Hg  0.750  0.330  0.330
In  0.000  0.334  0.667
In  0.750  0.342  0.000
In  0.250  0.658  0.000
Pb  0.500  0.000  0.000
In  0.250  0.000  0.658
Hg  0.250  0.670  0.670
Pb  0.000  0.000  0.000
In  0.500  0.666  0.333

=====

*Q*
Density functional theory data (PBE) for a relaxed In5Hg3Pb crystal.

- magnetization (μB/atom) = 0.0000

Unit cell a=6.836 b=8.978 c=9.290 alpha=89.80 beta=90.00 gamma=112.38
Fractional coordinates of all 18 atoms:
In  0.079  0.683  0.556
In  0.269  0.000  0.750
In  0.610  0.683  0.445
In  0.921  0.317  0.444
Hg  0.000  0.000  0.500
In  0.390  0.317  0.555
Hg  0.588  0.383  0.249
Hg  0.000  0.000  0.000
Hg  0.412  0.617  0.751
Pb  0.715  0.000  0.750
Hg  0.795  0.383  0.749
Pb  0.285  0.000  0.250
In  0.605  0.683  0.056
Hg  0.205  0.617  0.251
In  0.395  0.317  0.944
In  0.927  0.317  0.055
In  0.731  0.000  0.250
In  0.073  0.683  0.945

=====

Relative to the most stable structure, the computed energies are *P* 0.000; *Q* 0.056, all in eV/atom.

=====

*P*
Density functional theory data (PBE) for a relaxed In4Hg2Pb5 crystal.

- magnetization (μB/atom) = 0.0000

Unit cell a=3.278 b=9.206 c=12.334 alpha=111.91 beta=97.64 gamma=90.00
Fractional coordinates of all 11 atoms:
Pb  0.866  0.684  0.732
Pb  0.134  0.952  0.268
In  0.000  0.673  0.000
Pb  0.500  0.000  0.000
Hg  0.744  0.744  0.489
Hg  0.256  0.256  0.511
In  0.386  0.386  0.772
In  0.000  0.327  0.000
Pb  0.134  0.316  0.268
In  0.614  0.614  0.228
Pb  0.866  0.048  0.732

=====

*Q*
Density functional theory data (PBE) for a relaxed In4Hg2Pb5 crystal.

- magnetization (μB/atom) = 0.0000

Unit cell a=3.282 b=9.215 c=12.659 alpha=114.61 beta=97.45 gamma=90.00
Fractional coordinates of all 11 atoms:
Hg  0.127  0.694  0.255
In  0.000  0.668  0.999
In  0.621  0.367  0.242
Pb  0.500  0.000  0.000
Hg  0.873  0.306  0.745
Pb  0.751  0.334  0.502
In  0.379  0.633  0.758
Pb  0.131  0.038  0.262
In  0.000  0.332  0.001
Pb  0.249  0.666  0.498
Pb  0.869  0.962  0.738

=====

Relative to the most stable structure, the computed energies are *P* 0.017; *Q* 0.000, all in eV/atom.

=====

*P*
Density functional theory data (PBE) for a relaxed RbInHgPb crystal.

- magnetization (μB/atom) = 0.0000

Unit cell a=5.683 b=5.683 c=5.683 alpha=60.00 beta=60.00 gamma=60.00
Fractional coordinates of all 4 atoms:
Rb  0.000  0.000  0.000
In  0.250  0.250  0.250
Hg  0.750  0.750  0.750
Pb  0.500  0.500  0.500

=====

*Q*
Density functional theory data (PBE) for a relaxed RbInHgPb crystal.

- magnetization (μB/atom) = 0.0000

Unit cell a=4.894 b=4.894 c=7.953 alpha=72.08 beta=72.08 gamma=60.00
Fractional coordinates of all 4 atoms:
Pb  0.023  0.023  0.930
Rb  0.816  0.816  0.553
Hg  0.250  0.250  0.250
In  0.637  0.637  0.089

=====

Relative to the most stable structure, the computed energies are *P* 0.056; *Q* 0.000, all in eV/atom.

=====

*P*
Density functional theory data (PBE) for a relaxed InHgPbSe crystal.

- magnetization (μB/atom) = 0.0000

Unit cell a=5.117 b=5.117 c=12.143 alpha=77.84 beta=77.84 gamma=60.00
Fractional coordinates of all 8 atoms:
Pb  0.793  0.793  0.622
Se  0.122  0.122  0.634
Pb  0.207  0.207  0.378
In  0.610  0.610  0.170
In  0.390  0.390  0.830
Se  0.878  0.878  0.366
Hg  0.304  0.304  0.088
Hg  0.696  0.696  0.912

=====

*Q*
Density functional theory data (PBE) for a relaxed InHgPbSe crystal.

- magnetization (μB/atom) = 0.0000

Unit cell a=5.375 b=5.375 c=5.375 alpha=60.00 beta=60.00 gamma=60.00
Fractional coordinates of all 4 atoms:
Hg  0.000  0.000  0.000
Se  0.500  0.500  0.500
Pb  0.750  0.750  0.750
In  0.250  0.250  0.250

=====

Relative to the most stable structure, the computed energies are *P* 0.000; *Q* 0.042, all in eV/atom.

=====

*P*
Density functional theory data (PBE) for a relaxed SmInHgPb crystal.

- magnetization (μB/atom) = 0.0000

Unit cell a=4.673 b=4.673 c=4.859 alpha=90.00 beta=90.00 gamma=90.00
Fractional coordinates of all 4 atoms:
Sm  0.500  0.000  0.500
Hg  0.500  0.500  0.000
In  0.000  0.000  0.000
Pb  0.000  0.500  0.500

=====

*Q*
Density functional theory data (PBE) for a relaxed SmInHgPb crystal.

- magnetization (μB/atom) = 0.0000

Unit cell a=5.417 b=5.417 c=5.417 alpha=60.00 beta=60.00 gamma=60.00
Fractional coordinates of all 4 atoms:
Hg  0.500  0.500  0.500
In  0.000  0.000  0.000
Pb  0.250  0.250  0.250
Sm  0.750  0.750  0.750

=====

Relative to the most stable structure, the computed energies are *P* 0.000; *Q* 0.179, all in eV/atom.

=====

*P*
Density functional theory data (PBE) for a relaxed InSnHgPb crystal.

- magnetization (μB/atom) = 0.0000

Unit cell a=5.414 b=5.414 c=5.414 alpha=60.00 beta=60.00 gamma=60.00
Fractional coordinates of all 4 atoms:
Sn  0.000  0.000  0.000
In  0.750  0.750  0.750
Pb  0.250  0.250  0.250
Hg  0.500  0.500  0.500

=====

*Q*
Density functional theory data (PBE) for a relaxed InSnHgPb crystal.

- magnetization (μB/atom) = 0.0000

Unit cell a=3.616 b=3.616 c=8.577 alpha=90.00 beta=90.00 gamma=90.00
Fractional coordinates of all 4 atoms:
Pb  0.500  0.500  0.823
Sn  0.000  0.000  0.564
In  0.500  0.500  0.317
Hg  0.000  0.000  0.081

=====

Relative to the most stable structure, the computed energies are *P* 0.006; *Q* 0.000, all in eV/atom.

=====

*P*
Density functional theory data (PBE) for a relaxed TbInHgPb crystal.

- magnetization (μB/atom) = 0.0000

Unit cell a=4.632 b=4.637 c=4.830 alpha=90.00 beta=90.00 gamma=90.00
Fractional coordinates of all 4 atoms:
In  0.000  0.000  0.000
Hg  0.500  0.500  0.000
Pb  0.000  0.500  0.500
Tb  0.500  0.000  0.500

=====

*Q*
Density functional theory data (PBE) for a relaxed TbInHgPb crystal.

- magnetization (μB/atom) = 0.0000

Unit cell a=5.388 b=5.388 c=5.388 alpha=60.00 beta=60.00 gamma=60.00
Fractional coordinates of all 4 atoms:
Hg  0.750  0.750  0.750
Pb  0.000  0.000  0.000
In  0.250  0.250  0.250
Tb  0.500  0.500  0.500

=====

Relative to the most stable structure, the computed energies are *P* 0.000; *Q* 0.180, all in eV/atom.